Record 1
VASP calculation (PBE) on crystalline CaTi2V2 at its relaxed geometry.

a b c (Å): 7.8250 7.8250 3.0499
angles (deg): 90.00 90.00 90.00
Closest atoms and distances in Å follow each position.
Space group P4/mbm (No. 127)
Symmetry-distinct sites (fractional):
Ca 0.0000 0.0000 0.0000  2 Ca 3.05, 4 V 3.05, 8 Ti 3.39
Ti 0.1391 0.3609 0.5000  4 V 2.62
V 0.1332 0.6332 0.0000  4 Ti 2.62

Results
The formation energy from the elements is 0.3901 eV per atom. The energy above the most stable polymorph in this dataset is 0.0 kJ/mol of atoms.

Record 2
VASP calculation (PBE) on crystalline Ca2TiV at its relaxed geometry.

a b c (Å): 8.3288 8.3288 6.0839
angles (deg): 90.00 90.00 90.00
Closest atoms and distances in Å follow each position.
Space group I-42d (No. 122)
Symmetry-distinct sites (fractional):
Ca 0.2369 0.2500 0.1250  2 V 2.97, 2 Ca 3.05, 2 Ti 3.12
Ti 0.0000 0.0000 0.5000  2 V 3.04, 4 Ca 3.12
V 0.0000 0.0000 0.0000  4 Ca 2.97, 2 Ti 3.04

Results
The formation energy from the elements is 1.0334 eV per atom. The energy above the most stable polymorph in this dataset is 23.2 kJ/mol of atoms.

Record 3
VASP calculation (PBE) on crystalline CaTi3V at its relaxed geometry.

a b c (Å): 4.6234 4.6234 4.6234
angles (deg): 90.00 90.00 90.00
Closest atoms and distances in Å follow each position.
Space group Pm-3m (No. 221)
Symmetry-distinct sites (fractional):
Ca 0.0000 0.0000 0.0000  6 Ti 2.31
Ti 0.0000 0.0000 0.5000  2 Ca 2.31
V 0.5000 0.5000 0.5000  12 Ti 3.27

Results
The formation energy from the elements is 1.8417 eV per atom. The energy above the most stable polymorph in this dataset is 122.7 kJ/mol of atoms.

Record 4
VASP calculation (PBE) on crystalline CaTi3V at its relaxed geometry.

a b c (Å): 4.7528 4.7528 4.7528
angles (deg): 90.00 90.00 90.00
Closest atoms and distances in Å follow each position.
Space group Pm-3m (No. 221)
Symmetry-distinct sites (fractional):
Ca 0.0000 0.0000 0.0000  12 Ti 3.36
Ti 0.0000 0.5000 0.5000  2 V 2.38
V 0.5000 0.5000 0.5000  6 Ti 2.38

Results
The formation energy from the elements is 0.5697 eV per atom. The energy above the most stable polymorph in this dataset is 0.0 kJ/mol of atoms.

Record 5
VASP calculation (PBE) on crystalline CaTiV3 at its relaxed geometry.

a b c (Å): 4.6598 4.6598 4.6598
angles (deg): 90.00 90.00 90.00
Closest atoms and distances in Å follow each position.
Space group Pm-3m (No. 221)
Symmetry-distinct sites (fractional):
Ca 0.0000 0.0000 0.0000  12 V 3.29
Ti 0.5000 0.5000 0.5000  6 V 2.33
V 0.0000 0.5000 0.5000  2 Ti 2.33

Results
The formation energy from the elements is 1.0629 eV per atom. The energy above the most stable polymorph in this dataset is 0.0 kJ/mol of atoms.

Record 6
VASP calculation (PBE) on crystalline Ca3TiV at its relaxed geometry.

a b c (Å): 5.7279 5.7279 5.7279
angles (deg): 90.00 90.00 90.00
Closest atoms and distances in Å follow each position.
Space group Pm-3m (No. 221)
Symmetry-distinct sites (fractional):
Ca 0.0000 0.0000 0.5000  2 V 2.86
Ti 0.5000 0.5000 0.5000  12 Ca 4.05
V 0.0000 0.0000 0.0000  6 Ca 2.86

Results
The formation energy from the elements is 1.1558 eV per atom.

Record 7
VASP calculation (PBE) on crystalline CaTi2V at its relaxed geometry.

a b c (Å): 6.8685 6.8685 9.9033
angles (deg): 90.00 90.00 90.00
Closest atoms and distances in Å follow each position.
Space group I4_1/amd (No. 141, origin choice 2)
Symmetry-distinct sites (fractional):
Ca 0.0000 0.2500 0.3750  12 Ti 4.03-4.09, 4 V 4.23, 4 Ca 4.23
Ti 0.0000 0.0000 0.0000  2 V 2.12
V 0.0000 0.2500 0.8750  4 Ti 2.12

Results
The formation energy from the elements is 1.1568 eV per atom. The energy above the most stable polymorph in this dataset is 52.1 kJ/mol of atoms.

Record 8
VASP calculation (PBE) on crystalline Ca2TiW at its relaxed geometry.

a b c (Å): 7.2237 7.2237 7.2237
angles (deg): 90.00 90.00 90.00
Closest atoms and distances in Å follow each position.
Space group Fm-3m (No. 225)
Symmetry-distinct sites (fractional):
Ca 0.2500 0.2500 0.2500  4 W 3.13, 4 Ti 3.13
Ti 0.0000 0.0000 0.0000  8 Ca 3.13
W 0.0000 0.0000 0.5000  8 Ca 3.13

Results
The formation energy from the elements is 1.2339 eV per atom. The energy above the most stable polymorph in this dataset is 0.0 kJ/mol of atoms.

Record 9
VASP calculation (PBE) on crystalline CaTi2W at its relaxed geometry.

a b c (Å): 4.8730 4.8730 17.7554
angles (deg): 90.00 90.00 90.00
Closest atoms and distances in Å follow each position.
Space group I4_1/amd (No. 141, origin choice 2)
Symmetry-distinct sites (fractional):
Ca 0.0000 0.2500 0.3750  4 W 3.45, 8 Ti 3.51
Ti 0.0000 0.0000 0.0000  2 Ti 2.44, 2 W 2.53
W 0.0000 0.2500 0.8750  4 Ti 2.53

Results
The formation energy from the elements is 1.2368 eV per atom.

Record 10
VASP calculation (PBE) on crystalline Ca3TiW at its relaxed geometry.

a b c (Å): 5.5403 5.5403 5.5403
angles (deg): 90.00 90.00 90.00
Closest atoms and distances in Å follow each position.
Space group Pm-3m (No. 221)
Symmetry-distinct sites (fractional):
Ca 0.0000 0.0000 0.5000  2 W 2.77
Ti 0.5000 0.5000 0.5000  12 Ca 3.92
W 0.0000 0.0000 0.0000  6 Ca 2.77

Results
The formation energy from the elements is 1.4344 eV per atom. The energy above the most stable polymorph in this dataset is 0.0 kJ/mol of atoms.

Record 11
VASP calculation (PBE) on crystalline Ca2TiW at its relaxed geometry.

a b c (Å): 8.3262 8.3262 5.5380
angles (deg): 90.00 90.00 90.00
Closest atoms and distances in Å follow each position.
Space group I-42d (No. 122)
Symmetry-distinct sites (fractional):
Ca 0.2445 0.2500 0.1250  2 Ca 2.77, 2 W 2.99, 2 Ti 3.06
Ti 0.0000 0.0000 0.5000  2 W 2.77, 4 Ca 3.06
W 0.0000 0.0000 0.0000  2 Ti 2.77, 4 Ca 2.99

Results
The formation energy from the elements is 1.3510 eV per atom. The energy above the most stable polymorph in this dataset is 11.3 kJ/mol of atoms.

Record 12
VASP calculation (PBE) on crystalline CaTiW3 at its relaxed geometry.

a b c (Å): 4.6118 4.6118 4.6118
angles (deg): 90.00 90.00 90.00
Closest atoms and distances in Å follow each position.
Space group Pm-3m (No. 221)
Symmetry-distinct sites (fractional):
Ca 0.0000 0.0000 0.0000  6 W 2.31
Ti 0.5000 0.5000 0.5000  12 W 3.26
W 0.0000 0.0000 0.5000  2 Ca 2.31

Results
The formation energy from the elements is 2.9440 eV per atom. The energy above the most stable polymorph in this dataset is 127.9 kJ/mol of atoms.

Q: What is the formula in the ninth record?
A: CaTi2W